This record from Alexandria describes a relaxed structure of Pm5DyY5. The functional is PBE.

a = 18.9366 Å, b = 6.0505 Å, c = 6.9971 Å
α = 90.00°, β = 110.47°, γ = 90.00°
Space group C2/m (No. 12)
Symmetry-distinct sites (fractional):
Pm1 0.0000 0.0000 0.0000 [2 per cell]
Pm2 0.1246 0.5000 0.1316 [4 per cell]
Pm3 0.1706 0.5000 0.6769 [4 per cell]
Dy1 0.0000 0.0000 0.5000 [2 per cell]
Y1 0.0000 0.5000 0.5000 [2 per cell]
Y2 0.1761 0.0000 0.4275 [4 per cell]
Y3 0.1777 0.0000 0.9212 [4 per cell]

energy of formation from the pure elements = 0.265 eV per atom
energy relative to the lowest polymorph listed for this composition = 0.000 eV per atom
ρ = 5.9 g cm⁻³